# CePm5Sb4, relaxed, DFT PBE-GGA
data_CePm5Sb4
_space_group_name_H-M_alt 'C 1 2/m 1'
_space_group_IT_number 12
_cell_length_a 19.1471
_cell_length_b 4.4072
_cell_length_c 8.6830
_cell_angle_alpha 90.00
_cell_angle_beta 105.22
_cell_angle_gamma 90.00
loop_
_space_group_symop_operation_xyz
'x,y,z'
'-x,-y,-z'
'-x,y,-z'
'x,-y,z'
'x+1/2,y+1/2,z'
'-x+1/2,-y+1/2,-z'
'-x+1/2,y+1/2,-z'
'x+1/2,-y+1/2,z'
loop_
_atom_site_label
_atom_site_type_symbol
_atom_site_fract_x
_atom_site_fract_y
_atom_site_fract_z
Ce1 Ce 0.0000 0.0000 0.0000
Pm1 Pm 0.0000 0.0000 0.5000
Pm2 Pm 0.1632 0.5000 0.8276
Pm3 Pm 0.1753 0.5000 0.3472
Sb1 Sb 0.0071 0.5000 0.2556
Sb2 Sb 0.1694 0.0000 0.0888
# - ρ (g/cm³) = 6.4
# - raw formation energy (eV per atom) = -0.76
# - raw total energy (eV for the cell shown) = -107.6
# - M_tot (μB per formula unit) = 0.9
# - density of states at the Fermi level (states/eV per atom) = 1.3121